(1)
PuCuPbO5: optimized geometry, PBE.

The space group is C2/c (No. 15) and the conventional cell measures 7.318, 9.455 and 8.051 Å, with angles of 90.00, 115.87 and 90.00 degrees. The inequivalent atoms are Pu at (0.250, 0.250, 0.000), Cu at (0.000, 0.040, 0.250), Pb at (0.000, 0.431, 0.250), O at (0.000, 0.317, 0.750), O at (0.066, 0.190, 0.100) and O at (0.240, 0.456, 0.089).

As for the theoretical density: 7.88 g/cm3. The value obtained for the uncorrected formation energy is -1.688 eV/atom.



(2)
PuCuPb2O6: optimized geometry, PBE.

The space group is C2/m (No. 12) and the conventional cell measures 10.890, 5.681 and 5.716 Å, with angles of 90.00, 121.58 and 90.00 degrees. The inequivalent atoms are Pu at (0.000, 0.000, 0.000), Cu at (0.000, 0.500, 0.500), Pb at (0.248, 0.000, 0.793), O at (0.064, 0.258, 0.801) and O at (0.197, 0.000, 0.294).

As for the theoretical density: 9.02 g/cm3. The value obtained for the uncorrected formation energy is -1.558 eV/atom.



(3)
CuRePb2O6: optimized geometry, PBE.

The space group is P2_1/c (No. 14) and the conventional cell measures 5.765, 7.029 and 9.110 Å, with angles of 90.00, 127.61 and 90.00 degrees. The inequivalent atoms are Cu at (0.000, 0.000, 0.000), Re at (0.500, 0.000, 0.500), Pb at (0.227, 0.087, 0.749), O at (0.182, 0.131, 0.471), O at (0.287, 0.728, 0.933) and O at (0.322, 0.051, 0.242).

As for the theoretical density: 8.63 g/cm3. The value obtained for the uncorrected formation energy is -1.201 eV/atom.



(4)
Cu2RhPb3O6: optimized geometry, PBE.

The space group is P-3m1 (No. 164) and the conventional cell measures 5.8229, 5.8229 and 5.8968 Å, with angles of 90.00, 90.00 and 120.00 degrees. The inequivalent atoms are Cu at (0.3333, 0.6667, 0.1022), Rh at (0.0000, 0.0000, 0.5000), Pb at (0.0000, 0.0000, 0.0000), Pb at (0.3333, 0.6667, 0.6231) and O at (0.1733, 0.3466, 0.3186).

As for the theoretical density: 9.09 g/cm3. The value obtained for the uncorrected formation energy is -0.584 eV/atom.



(5)
CuRhPbO4: optimized geometry, PBE.

The space group is Imma (No. 74) and the conventional cell measures 5.997, 6.405 and 9.802 Å, with angles of 90.00, 90.00 and 90.00 degrees. The inequivalent atoms are Cu at (0.250, 0.250, 0.250), Rh at (0.000, 0.000, 0.000), Pb at (0.000, 0.250, 0.658), O at (0.000, 0.054, 0.206) and O at (0.215, 0.250, 0.993).

As for the theoretical density: 7.72 g/cm3. The value obtained for the uncorrected formation energy is -0.748 eV/atom.



(6)
Cu2RuPb3O6: optimized geometry, PBE.

The space group is P-3m1 (No. 164) and the conventional cell measures 5.7901, 5.7901 and 6.0424 Å, with angles of 90.00, 90.00 and 120.00 degrees. The inequivalent atoms are Cu at (0.3333, 0.6667, 0.1134), Ru at (0.0000, 0.0000, 0.5000), Pb at (0.0000, 0.0000, 0.0000), Pb at (0.3333, 0.6667, 0.6299) and O at (0.1702, 0.3404, 0.3220).

As for the theoretical density: 8.95 g/cm3. The value obtained for the uncorrected formation energy is -0.635 eV/atom.



(7)
Cu3Ru4PbO12: optimized geometry, PBE.

The space group is Im-3 (No. 204) and the conventional cell measures 7.538, 7.538 and 7.538 Å, with angles of 90.00, 90.00 and 90.00 degrees. The inequivalent atoms are Cu at (0.000, 0.000, 0.500), Ru at (0.250, 0.250, 0.250), Pb at (0.000, 0.000, 0.000) and O at (0.000, 0.176, 0.312).

As for the theoretical density: 7.71 g/cm3. The value obtained for the uncorrected formation energy is -0.817 eV/atom.



(8)
CuPbS2O8: optimized geometry, PBE.

The space group is R-3 (No. 148, hexagonal axes) and the conventional cell measures 4.8494, 4.8494 and 21.9717 Å, with angles of 90.00, 90.00 and 120.00 degrees. The inequivalent atoms are Cu at (0.0000, 0.0000, 0.0000), Pb at (0.0000, 0.0000, 0.5000), S at (0.0000, 0.0000, 0.2550), O at (0.0000, 0.0000, 0.1864) and O at (0.0092, 0.7116, 0.7246).

As for the theoretical density: 5.15 g/cm3. The value obtained for the uncorrected formation energy is -1.198 eV/atom.



(9)
CuPb4S2O14: optimized geometry, PBE.

The space group is P-1 (No. 2) and the conventional cell measures 5.103, 8.114 and 8.675 Å, with angles of 114.44, 96.15 and 100.23 degrees. The inequivalent atoms are Cu at (0.000, 0.000, 0.000), Pb at (0.306, 0.288, 0.440), Pb at (0.402, 0.699, 0.918), S at (0.179, 0.793, 0.329), O at (0.036, 0.323, 0.824), O at (0.083, 0.838, 0.496), O at (0.182, 0.232, 0.173), O at (0.303, 0.965, 0.909), O at (0.307, 0.973, 0.324), O at (0.312, 0.572, 0.610) and O at (0.404, 0.693, 0.325).

As for the theoretical density: 6.22 g/cm3. The value obtained for the uncorrected formation energy is -0.970 eV/atom.



(10)
CuSb2Pb3O9: optimized geometry, PBE.

The space group is P-3m1 (No. 164) and the conventional cell measures 5.7379, 5.7379 and 7.0721 Å, with angles of 90.00, 90.00 and 120.00 degrees. The inequivalent atoms are Cu at (0.0000, 0.0000, 0.0000), Sb at (0.3333, 0.6667, 0.6685), Pb at (0.0000, 0.0000, 0.5000), Pb at (0.3333, 0.6667, 0.1333), O at (0.0000, 0.5000, 0.5000) and O at (0.1700, 0.3401, 0.8304).

As for the theoretical density: 8.83 g/cm3. The value obtained for the uncorrected formation energy is -1.095 eV/atom.



(11)
CuSbPbO5: optimized geometry, PBE.

The space group is C2/c (No. 15) and the conventional cell measures 6.742, 9.339 and 8.007 Å, with angles of 90.00, 114.55 and 90.00 degrees. The inequivalent atoms are Cu at (0.000, 0.065, 0.250), Sb at (0.000, 0.391, 0.250), Pb at (0.250, 0.250, 0.000), O at (0.000, 0.395, 0.750), O at (0.038, 0.226, 0.426) and O at (0.218, 0.083, 0.786).

As for the theoretical density: 6.84 g/cm3. The value obtained for the uncorrected formation energy is -0.774 eV/atom.



(12)
CuPbSe2O6: optimized geometry, PBE.

The space group is R-3 (No. 148, hexagonal axes) and the conventional cell measures 5.4055, 5.4055 and 17.3663 Å, with angles of 90.00, 90.00 and 120.00 degrees. The inequivalent atoms are Cu at (0.0000, 0.0000, 0.0000), Pb at (0.0000, 0.0000, 0.5000), Se at (0.0000, 0.0000, 0.2988) and O at (0.0130, 0.5974, 0.4108).

As for the theoretical density: 5.95 g/cm3. The value obtained for the uncorrected formation energy is -0.771 eV/atom.



Question: Number 11 is which compound?
Answer: CuSbPbO5



Repeat the first record exactly.
PuCuPbO5: optimized geometry, PBE.

The space group is C2/c (No. 15) and the conventional cell measures 7.318, 9.455 and 8.051 Å, with angles of 90.00, 115.87 and 90.00 degrees. The inequivalent atoms are Pu at (0.250, 0.250, 0.000), Cu at (0.000, 0.040, 0.250), Pb at (0.000, 0.431, 0.250), O at (0.000, 0.317, 0.750), O at (0.066, 0.190, 0.100) and O at (0.240, 0.456, 0.089).

As for the theoretical density: 7.88 g/cm3. The value obtained for the uncorrected formation energy is -1.688 eV/atom.



Repeat the twelfth record exactly.
CuPbSe2O6: optimized geometry, PBE.

The space group is R-3 (No. 148, hexagonal axes) and the conventional cell measures 5.4055, 5.4055 and 17.3663 Å, with angles of 90.00, 90.00 and 120.00 degrees. The inequivalent atoms are Cu at (0.0000, 0.0000, 0.0000), Pb at (0.0000, 0.0000, 0.5000), Se at (0.0000, 0.0000, 0.2988) and O at (0.0130, 0.5974, 0.4108).

As for the theoretical density: 5.95 g/cm3. The value obtained for the uncorrected formation energy is -0.771 eV/atom.